# 1
Compound: Ta3TcBi
Source: Alexandria via LeMat-Bulk
Functional: PBE
Structure: optimized geometry

- ΔH_f (0 K): 481 kJ/mol of formula units
- Space-group type: Pm-3m, No. 221
- Energy above the lowest structure with this stoichiometry: 0.000 eV/atom

Cell lengths 4.8748, 4.8748, 4.8748 Å; angles 90.00, 90.00, 90.00 degrees
Sites, in units of the cell vectors:
Ta 0.0000 0.0000 0.5000
Ta 0.0000 0.5000 0.0000
Ta 0.5000 0.0000 0.0000
Tc 0.0000 0.0000 0.0000
Bi 0.5000 0.5000 0.5000

=====

# 2
Compound: TaTcBi2
Source: Alexandria via LeMat-Bulk
Functional: PBE
Structure: optimized geometry

- ΔH_f (0 K): 371 kJ/mol of formula units
- Space-group type: I-42d, No. 122
- Energy above the lowest structure with this stoichiometry: 0.272 eV/atom

Cell lengths 10.3937, 10.3937, 10.3937 Å; angles 155.91, 155.91, 34.33 degrees
Sites, in units of the cell vectors:
Ta 0.0000 0.0000 0.0000
Ta 0.7500 0.2500 0.5000
Tc 0.2500 0.7500 0.5000
Tc 0.5000 0.5000 0.0000
Bi 0.1308 0.6250 0.0058
Bi 0.3750 0.3808 0.5058
Bi 0.6192 0.1250 0.9942
Bi 0.8750 0.8692 0.4942

=====

# 3
Compound: Ta2TcBi
Source: Alexandria via LeMat-Bulk
Functional: PBE
Structure: optimized geometry

- ΔH_f (0 K): 334 kJ/mol of formula units
- Space-group type: I-42d, No. 122

Cell lengths 10.3481, 10.3481, 10.3481 Å; angles 157.48, 157.48, 32.07 degrees
Sites, in units of the cell vectors:
Ta 0.1245 0.6250 0.9995
Ta 0.3750 0.3745 0.4995
Ta 0.6255 0.1250 0.0005
Ta 0.8750 0.8755 0.5005
Tc 0.0000 0.0000 0.0000
Tc 0.7500 0.2500 0.5000
Bi 0.2500 0.7500 0.5000
Bi 0.5000 0.5000 0.0000

=====

# 4
Compound: TaTi2TcBi
Source: Alexandria via LeMat-Bulk
Functional: PBE
Structure: optimized geometry

- ΔH_f (0 K): 717 kJ/mol of formula units
- Space-group type: P4/mmm, No. 123

Cell lengths 4.7810, 4.7810, 5.3208 Å; angles 90.00, 90.00, 90.00 degrees
Sites, in units of the cell vectors:
Ta 0.0000 0.0000 0.0000
Ti 0.0000 0.5000 0.0000
Ti 0.5000 0.0000 0.0000
Tc 0.5000 0.5000 0.5000
Bi 0.0000 0.0000 0.5000

=====

Per-record total magnetic moment, μB per formula unit: 0.00; 0.62; 0.00; 2.23